4
Lattice="4.532 0.000 0.000 0.000 4.532 0.000 0.000 0.000 3.552" Properties=species:S:1:pos:R:3 comment="Zr2SiMo | Alexandria | PBE | relaxed" spacegroup="No. 123" total_energy_ev_per_fu=-34.9 magmom_total_mub_per_cell=0.0 pbc="T T T"
Zr 0.000 2.266 0.000
Zr 2.266 0.000 0.000
Si 0.000 0.000 1.776
Mo 2.266 2.266 1.776

18
Lattice="7.629 -5.633 0.000 7.629 5.633 0.000 -6.519 0.000 7.583" Properties=species:S:1:pos:R:3 comment="Sm3YEr5 | Alexandria | PBE | relaxed" spacegroup="No. 12" delta_e_f_ev_per_atom=0.53 magmom_total_mub_per_cell=0.0 pbc="T T T"
Sm 0.000 0.000 0.000
Sm -1.860 0.000 2.333
Sm 6.397 0.000 1.027
Sm 4.369 0.000 3.791
Sm 2.341 0.000 6.555
Sm 10.598 0.000 5.250
Y 3.186 0.000 0.768
Y 5.553 0.000 6.814
Er 0.347 2.819 5.670
Er -1.421 0.000 5.494
Er 4.369 2.927 3.791
Er 1.209 0.000 3.525
Er 8.392 2.819 1.913
Er 0.347 -2.819 5.670
Er 7.529 0.000 4.057
Er 4.369 -2.927 3.791
Er 10.159 0.000 2.089
Er 8.392 -2.819 1.913

12
Lattice="7.121 -1.280 0.000 7.121 1.280 0.000 -1.471 0.000 4.355" Properties=species:S:1:pos:R:3 comment="B5C7 | Alexandria | PBE | relaxed" spacegroup="No. 8" delta_e_f_ev_per_atom=0.41 magmom_total_mub_per_cell=0.0 pbc="T T T"
B 0.000 0.000 0.000
B 1.691 0.000 0.315
B 5.108 0.000 3.245
B 6.629 0.000 1.798
B 11.604 0.000 0.597
C 1.221 0.000 3.392
C 2.677 0.000 3.883
C 3.645 0.000 2.679
C 8.083 0.000 2.522
C 9.088 0.000 1.353
C 10.528 0.000 1.826
C 13.106 0.000 1.200

7
Lattice="2.593 -4.185 0.000 2.593 4.185 0.000 -0.128 0.000 4.677" Properties=species:S:1:pos:R:3 comment="FeNi2Pd4 | Alexandria | PBE | relaxed" spacegroup="No. 12" delta_e_f_ev_per_atom=0.14 magmom_total_mub_per_cell=5.8 pbc="T T T"
Fe 0.000 0.000 0.000
Ni 2.253 0.000 3.479
Ni 2.805 0.000 1.199
Pd 1.296 2.093 0.000
Pd 2.529 2.785 2.339
Pd 1.296 -2.093 0.000
Pd 2.529 -2.785 2.339

12
Lattice="7.542 0.000 0.000 -3.771 6.532 0.000 0.000 0.000 8.611" Properties=species:S:1:pos:R:3 comment="Rb3NpAu2S6 | Alexandria | PBE | relaxed" spacegroup="No. 164" total_energy_ev_per_fu=-56.1 magmom_total_mub_per_cell=0.5 pbc="T T T"
Rb 0.000 0.000 0.000
Rb 0.000 4.355 5.994
Rb 3.771 2.177 2.617
Np 0.000 0.000 4.306
Au 0.000 4.355 2.656
Au 3.771 2.177 5.955
S 0.000 1.992 2.683
S -2.046 5.536 2.683
S 1.725 0.996 5.928
S 2.046 5.536 2.683
S 5.817 0.996 5.928
S 3.771 4.540 5.928

5
Lattice="5.284 0.000 0.000 0.000 5.284 0.000 0.000 0.000 5.284" Properties=species:S:1:pos:R:3 comment="Hf4Bi | Alexandria | PBE | relaxed" spacegroup="No. 221" delta_e_f_ev_per_atom=1.30 magmom_total_mub_per_cell=0.0 pbc="T T T"
Hf 0.000 0.000 0.000
Hf 0.000 2.642 2.642
Hf 2.642 0.000 2.642
Hf 2.642 2.642 0.000
Bi 2.642 2.642 2.642

5
Lattice="4.775 0.000 0.000 0.000 4.775 0.000 0.000 0.000 4.775" Properties=species:S:1:pos:R:3 comment="Hf3FeSb | Alexandria | PBE | relaxed" spacegroup="No. 221" total_energy_ev_per_fu=-42.6 magmom_total_mub_per_cell=0.0 pbc="T T T"
Hf 0.000 0.000 2.387
Hf 0.000 2.387 0.000
Hf 2.387 0.000 0.000
Fe 0.000 0.000 0.000
Sb 2.387 2.387 2.387

13
Lattice="-6.440 6.440 2.318 6.440 -6.440 2.318 6.440 6.440 -2.318" Properties=species:S:1:pos:R:3 comment="Tl5Ag4Te4 | Alexandria | PBE | relaxed" spacegroup="No. 87" total_energy_ev_per_fu=-38.3 magmom_total_mub_per_cell=0.0 pbc="T T T"
Tl 0.000 0.000 0.000
Tl 4.925 3.920 0.000
Tl 2.520 -1.515 2.318
Tl 3.920 7.955 0.000
Tl 1.515 2.520 2.318
Ag 7.336 1.193 0.000
Ag 1.193 5.543 0.000
Ag 5.247 0.897 2.318
Ag -0.897 5.247 2.318
Te 3.534 0.861 0.000
Te 5.579 -2.906 2.318
Te 0.861 9.346 0.000
Te 2.906 5.579 2.318

4
Lattice="4.750 0.000 0.000 0.000 4.750 0.000 0.000 0.000 3.619" Properties=species:S:1:pos:R:3 comment="CeBiRh2 | Alexandria | PBE | relaxed" spacegroup="No. 123" delta_e_f_ev_per_atom=-0.47 magmom_total_mub_per_cell=0.4 pbc="T T T"
Ce 0.000 0.000 0.000
Bi 2.375 2.375 0.000
Rh 0.000 2.375 1.809
Rh 2.375 0.000 1.809

18
Lattice="-7.175 2.733 4.646 7.175 -2.733 4.646 7.175 2.733 -4.646" Properties=species:S:1:pos:R:3 comment="Tm2Pd5Pb2 | Alexandria | PBE | relaxed" spacegroup="No. 46" delta_e_f_ev_per_atom=-0.50 magmom_total_mub_per_cell=0.0 pbc="T T T"
Tm 1.807 0.133 0.000
Tm 5.368 0.133 0.000
Tm 1.807 2.600 4.646
Tm 5.368 2.600 4.646
Pd 3.587 1.338 -2.078
Pd 9.335 1.502 -2.203
Pd 5.015 -1.231 2.442
Pd -2.160 1.231 2.442
Pd 9.335 1.231 2.442
Pd 0.704 1.501 2.151
Pd 6.471 1.501 2.151
Pd 3.587 1.395 2.567
Pd -0.704 3.966 2.151
Pd 0.704 1.232 6.797
Pb 0.000 0.000 4.348
Pb 7.175 0.000 4.348
Pb 3.587 -0.178 4.907
Pb 3.587 2.911 0.262

5
Lattice="4.559 0.000 0.000 0.000 4.559 0.000 0.000 0.000 5.026" Properties=species:S:1:pos:R:3 comment="SbBr2NCl | Alexandria | PBE | relaxed" spacegroup="No. 123" total_energy_ev_per_fu=-13.0 magmom_total_mub_per_cell=0.0 pbc="T T T"
Sb 0.000 0.000 0.000
Br 0.000 2.279 2.513
Br 2.279 0.000 2.513
N 2.279 2.279 2.513
Cl 2.279 2.279 0.000

7
Lattice="-2.289 2.379 7.953 2.289 -2.379 7.953 2.289 2.379 -7.953" Properties=species:S:1:pos:R:3 comment="Er3ScPb2C | Alexandria | PBE | relaxed" spacegroup="No. 71" delta_e_f_ev_per_atom=-0.61 magmom_total_mub_per_cell=0.0 pbc="T T T"
Er 0.000 0.000 0.000
Er 2.289 0.000 5.474
Er 0.000 2.379 2.479
Sc 0.000 0.000 7.953
Pb 2.289 0.000 2.257
Pb 0.000 2.379 5.696
C 0.000 2.379 0.000

5
Lattice="5.026 0.000 0.000 0.000 5.026 0.000 0.000 0.000 4.574" Properties=species:S:1:pos:R:3 comment="Na2InBiH | Alexandria | PBE | relaxed" spacegroup="No. 123" total_energy_ev_per_fu=-12.9 magmom_total_mub_per_cell=0.0 pbc="T T T"
Na 0.000 2.513 0.000
Na 2.513 0.000 0.000
In 0.000 0.000 2.287
Bi 2.513 2.513 2.287
H 2.513 2.513 0.000

12
Lattice="6.990 0.000 0.000 0.000 5.611 0.000 0.000 0.000 9.763" Properties=species:S:1:pos:R:3 comment="Dy2Y2ErTh | Alexandria | PBE | relaxed" spacegroup="No. 51" delta_e_f_ev_per_atom=0.09 magmom_total_mub_per_cell=0.0 pbc="T T T"
Dy 1.747 0.000 1.565
Dy 1.747 2.805 6.577
Dy 5.242 0.000 8.198
Dy 5.242 2.805 3.186
Y 0.000 0.000 4.881
Y 1.747 2.805 3.322
Y 3.495 0.000 4.881
Y 5.242 2.805 6.441
Er 0.000 2.805 0.000
Er 3.495 2.805 0.000
Th 1.747 0.000 8.092
Th 5.242 0.000 1.671

9
Lattice="5.344 0.000 0.000 -2.672 4.628 0.000 0.000 0.000 4.868" Properties=species:S:1:pos:R:3 comment="HfHgRuO6 | Alexandria | PBE | relaxed" spacegroup="No. 149" total_energy_ev_per_fu=-62.4 magmom_total_mub_per_cell=1.7 pbc="T T T"
Hf 0.000 0.000 0.000
Hg 2.672 1.543 2.434
Ru 0.000 3.086 0.000
O -0.693 1.626 1.089
O -1.610 3.215 3.779
O 0.693 1.626 3.779
O -0.917 4.415 1.089
O 1.610 3.215 1.089
O 0.917 4.415 3.779

5
Lattice="5.376 0.000 0.000 0.000 5.376 0.000 0.000 0.000 5.376" Properties=species:S:1:pos:R:3 comment="ReTe3As | Alexandria | PBE | relaxed" spacegroup="No. 221" total_energy_ev_per_fu=-19.0 magmom_total_mub_per_cell=4.4 pbc="T T T"
Re 0.000 0.000 0.000
Te 0.000 2.688 2.688
Te 2.688 0.000 2.688
Te 2.688 2.688 0.000
As 2.688 2.688 2.688

4
Lattice="0.000 4.031 4.031 4.031 0.000 4.031 4.031 4.031 0.000" Properties=species:S:1:pos:R:3 comment="RbHgBr2 | Alexandria | PBE | relaxed" spacegroup="No. 225" total_energy_ev_per_fu=-7.8 magmom_total_mub_per_cell=0.0 pbc="T T T"
Rb 0.000 0.000 0.000
Hg 4.031 4.031 4.031
Br 2.016 2.016 2.016
Br 6.047 6.047 6.047

18
Lattice="6.112 0.000 0.000 0.000 9.047 0.000 -5.253 0.000 9.579" Properties=species:S:1:pos:R:3 comment="Er6Tl2Pb | Alexandria | PBE | relaxed" spacegroup="No. 14" delta_e_f_ev_per_atom=-0.19 magmom_total_mub_per_cell=0.0 pbc="T T T"
Er -2.058 1.486 4.200
Er -4.685 3.037 8.989
Er -0.052 6.184 4.183
Er -2.679 7.386 8.972
Er 0.927 0.283 2.975
Er -1.699 4.240 7.764
Er 2.559 4.806 1.814
Er -0.068 8.763 6.603
Er 3.538 1.660 0.606
Er 0.912 2.863 5.395
Er 5.544 6.009 0.589
Er 2.917 7.561 5.379
Tl -2.888 1.143 7.230
Tl -0.261 3.381 2.441
Tl 1.120 5.666 7.138
Tl 3.747 7.904 2.349
Pb 0.000 0.000 0.000
Pb -2.627 4.523 4.789

4
Lattice="0.000 3.802 3.802 3.802 0.000 3.802 3.802 3.802 0.000" Properties=species:S:1:pos:R:3 comment="NaTiI2 | Alexandria | PBE | relaxed" spacegroup="No. 225" total_energy_ev_per_fu=-13.2 magmom_total_mub_per_cell=2.9 pbc="T T T"
Na 0.000 0.000 0.000
Ti 3.802 3.802 3.802
I 1.901 1.901 1.901
I 5.703 5.703 5.703

11
Lattice="8.309 -3.316 0.000 8.309 3.316 0.000 -1.123 0.000 6.593" Properties=species:S:1:pos:R:3 comment="Pr2NdHo8 | Alexandria | PBE | relaxed" spacegroup="No. 12" delta_e_f_ev_per_atom=0.17 magmom_total_mub_per_cell=0.0 pbc="T T T"
Pr 3.728 0.000 2.027
Pr 11.767 0.000 4.566
Nd 0.000 0.000 0.000
Ho 6.186 1.579 3.926
Ho 2.466 0.000 5.276
Ho 9.309 1.579 2.668
Ho 6.738 0.000 0.621
Ho 8.756 0.000 5.972
Ho 6.186 -1.579 3.926
Ho 13.028 0.000 1.317
Ho 9.309 -1.579 2.668